VASP calculation (GGA+U) on an optimized crystal structure of NpMn2F8.

Properties
Calculated density (g/cm³): 5.405
Uncorrected energy (eV/atom): -6.867

Unit cell a=5.340 b=5.340 c=10.748 alpha=90.00 beta=90.00 gamma=90.00
Space group I422 (No. 97)
One atom of each set of equivalent atoms:
Np (0.000, 0.000, 0.000) (multiplicity 2)
Mn (0.000, 0.500, 0.250) (multiplicity 4)
F (0.237, 0.240, 0.870) (multiplicity 16)